This record from Alexandria describes LiCd3 after structural relaxation. The functional is PBE.

Cell lengths 3.0718, 3.0718, 30.8707 Å; angles 90.00, 90.00, 120.00 degrees
Space group R-3m (No. 166, hexagonal axes)
Inequivalent atoms, fractional coordinates:
Li  0.0000  0.0000  0.0000
Cd  0.0000  0.0000  0.2581
Cd  0.0000  0.0000  0.5000

Summary:
uncorrected energy	-4.99	eV per formula unit

This record from Alexandria describes Li3Cd7 after structural relaxation. The functional is PBE.

Cell lengths 15.334, 4.666, 5.965 Å; angles 90.00, 111.43, 90.00 degrees
Space group C2/m (No. 12)
Inequivalent atoms, fractional coordinates:
Li  0.000  0.000  0.000
Li  0.197  0.000  0.714
Cd  0.000  0.000  0.500
Cd  0.108  0.500  0.868
Cd  0.109  0.500  0.367
Cd  0.199  0.000  0.210

Summary:
distance to the lowest polymorph of the same formula	0	kJ/mol of formula units

This record from Alexandria describes Li2Cd after structural relaxation. The functional is PBE.

Cell lengths 3.1161, 3.1161, 7.1389 Å; angles 90.00, 90.00, 120.00 degrees
Space group P-3m1 (No. 164)
Inequivalent atoms, fractional coordinates:
Li  0.3333  0.6667  0.3278
Cd  0.0000  0.0000  0.0000

Summary:
uncorrected energy	-5.06	eV per formula unit

This record from Alexandria describes Li2Cd after structural relaxation. The functional is PBE.

Cell lengths 6.573, 6.573, 5.772 Å; angles 90.00, 90.00, 90.00 degrees
Space group I4/mcm (No. 140)
Inequivalent atoms, fractional coordinates:
Li  0.157  0.343  0.000
Cd  0.000  0.000  0.250

Summary:
uncorrected energy	-5.13	eV per formula unit

This record from Alexandria describes Li5Cd7 after structural relaxation. The functional is PBE.

Cell lengths 10.097, 4.761, 10.142 Å; angles 90.00, 109.42, 90.00 degrees
Space group C2/m (No. 12)
Inequivalent atoms, fractional coordinates:
Li  0.000  0.000  0.000
Li  0.164  0.000  0.488
Li  0.248  0.500  0.755
Cd  0.000  0.500  0.500
Cd  0.087  0.000  0.744
Cd  0.099  0.500  0.263
Cd  0.159  0.500  0.994

Summary:
uncorrected energy	-18.52	eV per formula unit

This record from Alexandria describes Li2Cd13 after structural relaxation. The functional is PBE.

Cell lengths 5.312, 7.967, 8.732 Å; angles 116.21, 94.05, 96.08 degrees
Space group P-1 (No. 2)
Inequivalent atoms, fractional coordinates:
Li  0.077  0.253  0.386
Cd  0.000  0.000  0.000
Cd  0.143  0.520  0.771
Cd  0.202  0.797  0.196
Cd  0.260  0.076  0.601
Cd  0.323  0.350  0.018
Cd  0.384  0.611  0.421
Cd  0.459  0.873  0.801

Summary:
distance to the lowest polymorph of the same formula	0	kJ/mol of formula units

This record from Alexandria describes Li3Cd5 after structural relaxation. The functional is PBE.

Cell lengths 5.902, 11.130, 4.692 Å; angles 90.00, 90.00, 90.00 degrees
Space group Pbam (No. 55)
Inequivalent atoms, fractional coordinates:
Li  0.000  0.000  0.000
Li  0.149  0.371  0.500
Cd  0.000  0.500  0.000
Cd  0.137  0.755  0.000
Cd  0.152  0.112  0.500

Summary:
distance to the lowest polymorph of the same formula	0	kJ/mol of formula units

This record from Alexandria describes Li2Cd after structural relaxation. The functional is PBE.

Cell lengths 10.040, 10.040, 10.040 Å; angles 90.00, 90.00, 90.00 degrees
Space group Fd-3m (No. 227, origin choice 2)
Inequivalent atoms, fractional coordinates:
Li  0.023  0.023  0.227
Cd  0.000  0.000  0.500

Summary:
uncorrected energy	-4.79	eV per formula unit

Repeat the seventh record exactly.
This record from Alexandria describes Li3Cd5 after structural relaxation. The functional is PBE.

Cell lengths 5.902, 11.130, 4.692 Å; angles 90.00, 90.00, 90.00 degrees
Space group Pbam (No. 55)
Inequivalent atoms, fractional coordinates:
Li  0.000  0.000  0.000
Li  0.149  0.371  0.500
Cd  0.000  0.500  0.000
Cd  0.137  0.755  0.000
Cd  0.152  0.112  0.500

Summary:
distance to the lowest polymorph of the same formula	0	kJ/mol of formula units